Record 1
Tc2HgRu: relaxed, PBE.

Summary:
Space-group type: Cm
V: 64 Å³/cell
D(E_F): 1.0599 states/eV/atom
E_tot: -7.14 eV per atom

abc: 4.8462 4.8462 4.9321
angles: 79.68 79.68 34.03
Last column: nearest neighbours and their distance in Å.
Element x y z (fractional)
1 Tc 0.7386 0.7386 0.7896  2 Ru 2.59, 5 Tc 2.68-2.84, 1 Hg 2.85
2 Tc 0.9979 0.9979 0.9950  3 Ru 2.66-2.87, 5 Tc 2.68-2.84, 4 Hg 2.84-2.85
3 Hg 0.5010 0.5010 0.4959  3 Ru 2.81-2.92, 2 Hg 2.84, 7 Tc 2.84-2.95
4 Ru 0.2624 0.2624 0.2196  5 Tc 2.59-2.87, 1 Hg 2.81, 2 Ru 2.84

Record 2
MnCo2Tc: relaxed, PBE.

Summary:
Space-group type: Pmmm
V: 47 Å³/cell
Excess energy over the best structure of this formula in the dataset: 0.18 eV/f.u.
D(E_F): 1.1305 states/eV/atom
E_tot: -8.38 eV per atom

abc: 2.5555 3.6236 5.0626
angles: 90.00 90.00 90.00
Last column: nearest neighbours and their distance in Å.
Element x y z (fractional)
1 Co 0.0000 0.0000 0.4948  4 Co 2.48-2.58, 4 Mn 2.54, 4 Tc 2.57
2 Co 0.0000 0.0000 0.0052  4 Co 2.48-2.58, 4 Mn 2.54, 4 Tc 2.57
3 Mn 0.5000 0.5000 0.2500  2 Tc 2.53, 8 Co 2.54, 2 Mn 2.56
4 Tc 0.5000 0.5000 0.7500  2 Mn 2.53, 2 Tc 2.56, 8 Co 2.57

Record 3
Li2Pb2Br: relaxed, PBE.

Summary:
Space-group type: P4/mbm
V: 259 Å³/cell
D(E_F): 0.3317 states/eV/atom
E_tot: -2.98 eV per atom
Formation energy without anion corrections: -0.393 eV per atom

abc: 6.7494 6.7494 5.6816
angles: 90.00 90.00 90.00
Last column: nearest neighbours and their distance in Å.
Element x y z (fractional)
1 Br 0.0000 0.0000 0.0000  4 Li 2.55
2 Br 0.5000 0.5000 0.0000  4 Li 2.55
3 Pb 0.8397 0.3397 0.5000  1 Pb 3.06, 2 Li 3.34
4 Pb 0.6603 0.8397 0.5000  1 Pb 3.06, 2 Li 3.34
5 Pb 0.1603 0.6603 0.5000  1 Pb 3.06, 2 Li 3.34
6 Pb 0.3397 0.1603 0.5000  1 Pb 3.06, 2 Li 3.34
7 Li 0.8447 0.6553 0.0000  2 Br 2.55
8 Li 0.6553 0.1553 0.0000  2 Br 2.55
9 Li 0.3447 0.8447 0.0000  2 Br 2.55
10 Li 0.1553 0.3447 0.0000  2 Br 2.55

Record 4
K2SrAlSb2: relaxed, PBE.

Summary:
Space-group type: Ibam
V: 460 Å³/cell
D(E_F): 0.4697 states/eV/atom
E_tot: -3.10 eV per atom
Formation energy without anion corrections: -0.459 eV per atom

abc: 7.5954 7.4457 9.7109
angles: 112.54 113.02 90.00
Last column: nearest neighbours and their distance in Å.
Element x y z (fractional)
1 Sr 0.0000 0.2500 0.0000  4 Sb 3.29
2 Sr 0.0000 0.7500 0.0000  4 Sb 3.29
3 Sb 0.1970 0.9044 0.8089  2 Al 2.89
4 Sb 0.8030 0.0956 0.1911  2 Al 2.89
5 Sb 0.3881 0.5956 0.1911  2 Al 2.89
6 Sb 0.6119 0.4044 0.8089  2 Al 2.89
7 Al 0.5000 0.7500 0.0000  4 Sb 2.89
8 Al 0.5000 0.2500 0.0000  4 Sb 2.89
9 K 0.8935 0.6842 0.3684  2 Sb 3.48-3.63, 2 Al 3.87
10 K 0.4748 0.1842 0.3684  2 Sb 3.48-3.63, 2 Al 3.87
11 K 0.1065 0.3158 0.6316  2 Sb 3.48-3.63, 2 Al 3.87
12 K 0.5252 0.8158 0.6316  2 Sb 3.48-3.63, 2 Al 3.87